(1)
A plane-wave DFT calculation with PBE was carried out for TiGa3Cu3 after structural relaxation.

a = 7.528 Å, b = 7.528 Å, c = 4.134 Å
α = 90.00°, β = 90.00°, γ = 120.00°
Fractional positions:
Ti1 0.333 0.667 0.250
Ti2 0.667 0.333 0.750
Ga1 0.080 0.444 0.750
Ga2 0.363 0.920 0.750
Ga3 0.444 0.363 0.250
Ga4 0.556 0.637 0.750
Ga5 0.637 0.080 0.250
Ga6 0.920 0.556 0.250
Cu1 0.045 0.226 0.250
Cu2 0.180 0.955 0.250
Cu3 0.226 0.180 0.750
Cu4 0.774 0.820 0.250
Cu5 0.820 0.045 0.750
Cu6 0.955 0.774 0.750

Output
Total magnetic moment = 0.00 μB per cell
ΔE_f = -0.1050 eV/atom
Space-group type = P6_3/m (176)
Fermi-level density of states = 0.63 states/eV/atom
V = 14.49 Å³/atom


(2)
A plane-wave DFT calculation with PBE was carried out for Ti3Ga2Cu3 after structural relaxation.

a = 4.043 Å, b = 4.066 Å, c = 7.073 Å
α = 90.00°, β = 90.00°, γ = 90.00°
Fractional positions:
Ti1 0.000 0.000 0.000
Ti2 0.000 0.000 0.500
Ti3 0.500 0.500 0.000
Ga1 0.500 0.000 0.260
Ga2 0.500 0.000 0.740
Cu1 0.000 0.500 0.264
Cu2 0.000 0.500 0.736
Cu3 0.500 0.500 0.500

Output
Total magnetic moment = 0.03 μB per cell
ΔE_f = -0.2171 eV/atom
Space-group type = Pmmm (47)
Fermi-level density of states = 1.11 states/eV/atom
V = 14.54 Å³/atom


(3)
A plane-wave DFT calculation with PBE was carried out for TmTiGaCu after structural relaxation.

a = 4.686 Å, b = 4.686 Å, c = 4.686 Å
α = 60.00°, β = 60.00°, γ = 60.00°
Fractional positions:
Tm1 0.000 0.000 0.000
Ti1 0.500 0.500 0.500
Ga1 0.250 0.250 0.250
Cu1 0.750 0.750 0.750

Output
Total magnetic moment = 1.14 μB per cell
ΔE_f = -0.2634 eV/atom
Space-group type = F-43m (216)
Fermi-level density of states = 0.49 states/eV/atom
V = 18.19 Å³/atom


(4)
A plane-wave DFT calculation with PBE was carried out for TiVGa2Cu after structural relaxation.

a = 4.371 Å, b = 4.371 Å, c = 4.663 Å
α = 90.00°, β = 90.00°, γ = 90.00°
Fractional positions:
Ti1 0.000 0.000 0.000
V1 0.500 0.500 0.000
Ga1 0.000 0.500 0.500
Ga2 0.500 0.000 0.500
Cu1 0.000 0.000 0.500

Output
Total magnetic moment = 0.00 μB per cell
ΔE_f = 0.6694 eV/atom
Space-group type = P4/mmm (123)
Fermi-level density of states = 0.81 states/eV/atom
V = 17.81 Å³/atom


(5)
A plane-wave DFT calculation with PBE was carried out for YTiGaCu after structural relaxation.

a = 4.737 Å, b = 4.737 Å, c = 4.737 Å
α = 60.00°, β = 60.00°, γ = 60.00°
Fractional positions:
Y1 0.000 0.000 0.000
Ti1 0.500 0.500 0.500
Ga1 0.750 0.750 0.750
Cu1 0.250 0.250 0.250

Output
Total magnetic moment = 1.19 μB per cell
ΔE_f = -0.2390 eV/atom
Space-group type = F-43m (216)
Fermi-level density of states = 0.53 states/eV/atom
V = 18.79 Å³/atom


(6)
A plane-wave DFT calculation with PBE was carried out for YTiGaCu2 after structural relaxation.

a = 4.502 Å, b = 4.502 Å, c = 5.292 Å
α = 90.00°, β = 90.00°, γ = 90.00°
Fractional positions:
Y1 0.000 0.000 0.000
Ti1 0.500 0.500 0.000
Ga1 0.000 0.000 0.500
Cu1 0.000 0.500 0.500
Cu2 0.500 0.000 0.500

Output
Total magnetic moment = 1.92 μB per cell
ΔE_f = 0.5641 eV/atom
Space-group type = P4/mmm (123)
Fermi-level density of states = 0.79 states/eV/atom
V = 21.46 Å³/atom


(7)
A plane-wave DFT calculation with PBE was carried out for Y2TiGaCu after structural relaxation.

a = 5.312 Å, b = 5.312 Å, c = 4.470 Å
α = 90.00°, β = 90.00°, γ = 90.00°
Fractional positions:
Y1 0.000 0.500 0.000
Y2 0.500 0.000 0.000
Ti1 0.000 0.000 0.500
Ga1 0.500 0.500 0.500
Cu1 0.500 0.500 0.000

Output
Total magnetic moment = 3.20 μB per cell
ΔE_f = 0.2398 eV/atom
Space-group type = P4/mmm (123)
Fermi-level density of states = 1.03 states/eV/atom
V = 25.22 Å³/atom


(8)
A plane-wave DFT calculation with PBE was carried out for TiZnGaCu after structural relaxation.

a = 3.718 Å, b = 3.894 Å, c = 4.040 Å
α = 90.00°, β = 90.00°, γ = 90.00°
Fractional positions:
Ti1 0.000 0.000 0.000
Zn1 0.500 0.000 0.500
Ga1 0.500 0.500 0.000
Cu1 0.000 0.500 0.500

Output
Total magnetic moment = 0.00 μB per cell
ΔE_f = -0.2550 eV/atom
Space-group type = Pmmm (47)
Fermi-level density of states = 0.71 states/eV/atom
V = 14.62 Å³/atom


(9)
A plane-wave DFT calculation with PBE was carried out for Ti2ZnGa2Cu7 after structural relaxation.

a = 3.562 Å, b = 3.562 Å, c = 13.368 Å
α = 97.60°, β = 97.60°, γ = 90.00°
Fractional positions:
Ti1 0.169 0.169 0.341
Ti2 0.831 0.831 0.659
Zn1 0.500 0.500 0.000
Ga1 0.361 0.361 0.722
Ga2 0.639 0.639 0.278
Cu1 0.000 0.000 0.000
Cu2 0.074 0.574 0.147
Cu3 0.269 0.269 0.537
Cu4 0.426 0.926 0.853
Cu5 0.574 0.074 0.147
Cu6 0.731 0.731 0.463
Cu7 0.926 0.426 0.853

Output
Total magnetic moment = 0.07 μB per cell
ΔE_f = -0.0598 eV/atom
Space-group type = C2/m (12)
Fermi-level density of states = 0.64 states/eV/atom
V = 13.88 Å³/atom


(10)
A plane-wave DFT calculation with PBE was carried out for TiZnGaCu after structural relaxation.

a = 4.346 Å, b = 4.346 Å, c = 4.346 Å
α = 60.00°, β = 60.00°, γ = 60.00°
Fractional positions:
Ti1 0.000 0.000 0.000
Zn1 0.750 0.750 0.750
Ga1 0.250 0.250 0.250
Cu1 0.500 0.500 0.500

Output
Total magnetic moment = 0.00 μB per cell
ΔE_f = -0.1482 eV/atom
Space-group type = F-43m (216)
Fermi-level density of states = 0.50 states/eV/atom
V = 14.52 Å³/atom


(11)
A plane-wave DFT calculation with PBE was carried out for Tl3GaCu after structural relaxation.

a = 5.469 Å, b = 5.469 Å, c = 5.469 Å
α = 90.00°, β = 90.00°, γ = 90.00°
Fractional positions:
Tl1 0.000 0.000 0.500
Tl2 0.000 0.500 0.000
Tl3 0.500 0.000 0.000
Ga1 0.000 0.000 0.000
Cu1 0.500 0.500 0.500

Output
Total magnetic moment = 0.00 μB per cell
ΔE_f = 0.5663 eV/atom
Space-group type = Pm-3m (221)
Fermi-level density of states = 0.31 states/eV/atom
V = 32.72 Å³/atom


(12)
A plane-wave DFT calculation with PBE was carried out for TlGaCu4 after structural relaxation.

a = 5.034 Å, b = 5.034 Å, c = 5.034 Å
α = 60.00°, β = 60.00°, γ = 60.00°
Fractional positions:
Tl1 0.000 0.000 0.000
Ga1 0.250 0.250 0.250
Cu1 0.127 0.624 0.624
Cu2 0.624 0.127 0.624
Cu3 0.624 0.624 0.127
Cu4 0.624 0.624 0.624

Output
Total magnetic moment = 0.00 μB per cell
ΔE_f = 0.1009 eV/atom
Space-group type = F-43m (216)
Fermi-level density of states = 0.13 states/eV/atom
V = 15.04 Å³/atom


(13)
A plane-wave DFT calculation with PBE was carried out for TlGaCu2 after structural relaxation.

a = 9.054 Å, b = 9.054 Å, c = 9.054 Å
α = 152.40°, β = 152.40°, γ = 39.44°
Fractional positions:
Tl1 0.000 0.000 0.000
Tl2 0.750 0.250 0.500
Ga1 0.250 0.750 0.500
Ga2 0.500 0.500 0.000
Cu1 0.237 0.625 0.112
Cu2 0.375 0.487 0.612
Cu3 0.513 0.125 0.888
Cu4 0.875 0.763 0.388

Output
Total magnetic moment = 0.00 μB per cell
ΔE_f = 0.2665 eV/atom
Space-group type = I-42d (122)
Fermi-level density of states = 0.37 states/eV/atom
V = 19.88 Å³/atom


(14)
A plane-wave DFT calculation with PBE was carried out for Tl2GaCu after structural relaxation.

a = 10.095 Å, b = 10.095 Å, c = 10.095 Å
α = 154.07°, β = 154.07°, γ = 37.00°
Fractional positions:
Tl1 0.111 0.625 0.986
Tl2 0.375 0.361 0.486
Tl3 0.639 0.125 0.014
Tl4 0.875 0.889 0.514
Ga1 0.250 0.750 0.500
Ga2 0.500 0.500 0.000
Cu1 0.000 0.000 0.000
Cu2 0.750 0.250 0.500

Output
Total magnetic moment = 0.00 μB per cell
ΔE_f = 0.3500 eV/atom
Space-group type = I-42d (122)
Fermi-level density of states = 0.43 states/eV/atom
V = 24.56 Å³/atom


(15)
A plane-wave DFT calculation with PBE was carried out for TlGa3Cu after structural relaxation.

a = 4.810 Å, b = 4.810 Å, c = 4.810 Å
α = 90.00°, β = 90.00°, γ = 90.00°
Fractional positions:
Tl1 0.000 0.000 0.000
Ga1 0.000 0.500 0.500
Ga2 0.500 0.000 0.500
Ga3 0.500 0.500 0.000
Cu1 0.500 0.500 0.500

Output
Total magnetic moment = 0.00 μB per cell
ΔE_f = 0.1148 eV/atom
Space-group type = Pm-3m (221)
Fermi-level density of states = 0.37 states/eV/atom
V = 22.26 Å³/atom


(16)
A plane-wave DFT calculation with PBE was carried out for TlGaCu2 after structural relaxation.

a = 4.592 Å, b = 4.592 Å, c = 4.592 Å
α = 60.00°, β = 60.00°, γ = 60.00°
Fractional positions:
Tl1 0.000 0.000 0.000
Ga1 0.500 0.500 0.500
Cu1 0.250 0.250 0.250
Cu2 0.750 0.750 0.750

Output
Total magnetic moment = 0.00 μB per cell
ΔE_f = 0.2607 eV/atom
Space-group type = Fm-3m (225)
Fermi-level density of states = 0.40 states/eV/atom
V = 17.11 Å³/atom


(17)
A plane-wave DFT calculation with PBE was carried out for Tl3GaCu after structural relaxation.

a = 5.232 Å, b = 5.232 Å, c = 5.232 Å
α = 90.00°, β = 90.00°, γ = 90.00°
Fractional positions:
Tl1 0.000 0.000 0.500
Tl2 0.000 0.500 0.000
Tl3 0.500 0.000 0.000
Ga1 0.500 0.500 0.500
Cu1 0.000 0.000 0.000

Output
Total magnetic moment = 0.00 μB per cell
ΔE_f = 0.2740 eV/atom
Space-group type = Pm-3m (221)
Fermi-level density of states = 0.39 states/eV/atom
V = 28.64 Å³/atom


(18)
A plane-wave DFT calculation with PBE was carried out for TlZnGa2Cu after structural relaxation.

a = 4.770 Å, b = 4.770 Å, c = 4.767 Å
α = 90.00°, β = 90.00°, γ = 90.00°
Fractional positions:
Tl1 0.000 0.000 0.000
Zn1 0.500 0.500 0.000
Ga1 0.000 0.500 0.500
Ga2 0.500 0.000 0.500
Cu1 0.500 0.500 0.500

Output
Total magnetic moment = 0.00 μB per cell
ΔE_f = 0.1402 eV/atom
Space-group type = P4/mmm (123)
Fermi-level density of states = 0.45 states/eV/atom
V = 21.69 Å³/atom


(19)
A plane-wave DFT calculation with PBE was carried out for ZrTlGaCu2 after structural relaxation.

a = 4.708 Å, b = 4.708 Å, c = 5.169 Å
α = 90.00°, β = 90.00°, γ = 90.00°
Fractional positions:
Zr1 0.000 0.000 0.000
Tl1 0.500 0.500 0.500
Ga1 0.500 0.500 0.000
Cu1 0.000 0.500 0.500
Cu2 0.500 0.000 0.500

Output
Total magnetic moment = 0.00 μB per cell
ΔE_f = 0.9081 eV/atom
Space-group type = P4/mmm (123)
Fermi-level density of states = 0.75 states/eV/atom
V = 22.92 Å³/atom


(20)
A plane-wave DFT calculation with PBE was carried out for TmGa2Cu4 after structural relaxation.

a = 7.266 Å, b = 7.266 Å, c = 4.041 Å
α = 90.00°, β = 90.00°, γ = 90.00°
Fractional positions:
Tm1 0.000 0.000 0.000
Tm2 0.500 0.500 0.500
Ga1 0.211 0.211 0.500
Ga2 0.289 0.711 0.000
Ga3 0.711 0.289 0.000
Ga4 0.789 0.789 0.500
Cu1 0.098 0.645 0.500
Cu2 0.145 0.402 0.000
Cu3 0.355 0.902 0.500
Cu4 0.402 0.145 0.000
Cu5 0.598 0.855 0.000
Cu6 0.645 0.098 0.500
Cu7 0.855 0.598 0.000
Cu8 0.902 0.355 0.500

Output
Total magnetic moment = 0.00 μB per cell
ΔE_f = -0.2707 eV/atom
Space-group type = P4_2/mnm (136)
Fermi-level density of states = 0.49 states/eV/atom
V = 15.24 Å³/atom